K3Pt | Alexandria via LeMat-Bulk | PBE | relaxed; V = 275 Å³ per cell; energy relative to the elements = 0.141 eV per atom; N(E_F) = 5.19 states/eV per cell; total magnetic moment = 0.000 μB per cell
1.0
6.505 0.000 0.000
0.000 6.505 0.000
0.000 0.000 6.505
K Pt
6 2
Cartesian
0.000 1.626 3.253
0.000 4.879 3.253
1.626 3.253 0.000
3.253 0.000 1.626
3.253 0.000 4.879
4.879 3.253 0.000
0.000 0.000 0.000
3.253 3.253 3.253



MnC5 | Alexandria via LeMat-Bulk | PBE | relaxed; V = 60 Å³ per cell; energy relative to the elements = 0.891 eV per atom; N(E_F) = 1.53 states/eV per cell; ΔE to the lowest computed polymorph = 0.0 kJ per mole of atoms; total magnetic moment = 2.993 μB per cell
1.0
-2.431 -1.628 -3.338
-2.186 -3.553 -1.515
-5.114 0.900 1.637
Mn C
1 5
Cartesian
-5.854 -0.305 0.464
-4.370 -4.872 -4.558
-6.843 -1.809 -0.992
-5.608 -3.341 -2.776
-6.495 -2.748 -2.030
-4.725 -3.936 -3.522



YHoNiPd | Alexandria via LeMat-Bulk | PBE | relaxed; V = 85 Å³ per cell; energy relative to the elements = -0.667 eV per atom; N(E_F) = 3.01 states/eV per cell; ΔE to the lowest computed polymorph = 0.0 kJ per mole of atoms; total magnetic moment = 0.000 μB per cell
1.0
-1.306 -3.227 1.472
3.446 -0.181 2.663
-1.966 4.303 2.836
Y Ho Ni Pd
1 1 1 1
Cartesian
-0.740 0.760 1.009
-0.827 0.243 4.654
-2.195 2.254 2.994
0.663 -1.287 2.622



Tb2NdZn2Ga2 | Alexandria via LeMat-Bulk | PBE | relaxed; V = 162 Å³ per cell; energy relative to the elements = -0.407 eV per atom; N(E_F) = 3.54 states/eV per cell; total magnetic moment = 0.000 μB per cell
1.0
4.477 0.000 0.000
2.239 3.877 0.000
2.239 1.292 9.344
Tb Nd Zn Ga
2 1 2 2
Cartesian
2.239 1.292 5.759
6.716 3.877 3.585
0.000 0.000 0.000
4.477 2.585 1.949
4.477 2.585 7.396
6.716 3.877 7.272
2.238 1.292 2.073



TcH2WS | Alexandria via LeMat-Bulk | PBE | relaxed; E_tot = -6.1394 eV per atom; V = 62 Å³ per cell; N(E_F) = 3.40 states/eV per cell; total magnetic moment = 1.139 μB per cell
1.0
-2.919 -1.233 -1.500
-0.436 -3.439 3.676
-1.918 2.253 1.880
H S Tc W
2 1 1 1
Cartesian
-0.959 1.126 0.940
-1.459 -0.616 -0.750
-2.637 -1.210 2.028
-0.218 -1.720 1.838
0.000 0.000 0.000



SrLiMg2Au4 | Alexandria via LeMat-Bulk | PBE | relaxed; V = 168 Å³ per cell; energy relative to the elements = -0.619 eV per atom; N(E_F) = 3.37 states/eV per cell; total magnetic moment = 0.000 μB per cell
1.0
4.640 0.000 0.000
2.320 4.018 0.000
2.320 1.339 8.996
Sr Li Mg Au
1 1 2 4
Cartesian
0.000 0.000 0.000
4.640 2.679 4.498
6.960 4.018 6.309
2.320 1.339 2.687
4.640 2.679 7.098
6.960 4.018 3.513
2.320 1.339 5.483
4.640 2.679 1.898



ErGa4Cu2Ni | Alexandria via LeMat-Bulk | PBE | relaxed; V = 127 Å³ per cell; energy relative to the elements = -0.327 eV per atom; N(E_F) = 2.68 states/eV per cell; total magnetic moment = 0.000 μB per cell
1.0
-2.652 1.256 -2.910
0.261 -1.526 -3.831
-6.174 -6.435 -0.085
Er Ga Cu Ni
1 4 2 1
Cartesian
0.000 0.000 0.000
-5.878 -5.236 -2.771
-4.510 -2.772 -5.888
-4.054 -3.934 -0.937
-2.686 -1.470 -4.054
-6.238 -4.812 -5.193
-2.326 -1.895 -1.632
-4.282 -3.353 -3.413



Nb2Zn3O8 | Alexandria via LeMat-Bulk | PBE | relaxed; ΔE_f (raw) = -2.01 eV/atom; V = 305 Å³ per cell; N(E_F) = 0.00 states/eV per cell; total magnetic moment = 0.000 μB per cell
1.0
-0.118 -7.710 6.582
2.843 -9.574 1.739
4.524 1.701 2.111
Nb Zn O
4 6 16
Cartesian
1.248 -5.585 5.397
1.743 -9.592 7.242
6.000 -9.997 5.035
5.505 -5.991 3.190
2.947 -8.502 3.946
4.301 -7.080 6.485
3.491 -12.339 5.749
2.408 -4.669 2.134
4.840 -10.913 8.298
3.757 -3.243 4.682
5.709 -6.313 5.003
4.539 -8.883 5.277
1.539 -9.269 5.429
2.709 -6.699 5.155
3.011 -8.148 7.816
4.219 -5.148 7.399
4.237 -7.434 2.616
3.029 -10.434 3.032
4.129 -4.500 3.188
6.240 -10.772 6.894
2.180 -2.164 2.923
2.198 -13.886 7.448
5.069 -13.418 7.508
5.050 -1.697 2.984
1.008 -4.810 3.538
3.119 -11.082 7.243



RbCdGa2Sn8 | Alexandria via LeMat-Bulk | PBE | relaxed; V = 352 Å³ per cell; energy relative to the elements = 0.046 eV per atom; N(E_F) = 6.60 states/eV per cell; total magnetic moment = 0.000 μB per cell
1.0
6.449 0.000 0.000
3.224 5.585 0.000
3.224 1.862 9.778
Rb Cd Ga Sn
1 1 2 8
Cartesian
6.449 3.723 4.889
0.000 0.000 0.000
3.224 1.862 3.626
9.673 5.585 6.153
3.224 1.862 6.733
5.124 2.473 1.498
9.673 5.585 3.045
8.194 3.201 1.498
4.704 4.245 8.280
6.028 5.495 1.498
6.869 1.951 8.280
7.773 4.973 8.280



AlSe3 | Alexandria via LeMat-Bulk | PBE | relaxed; ΔE_f (raw) = -0.08 eV/atom; V = 86 Å³ per cell; N(E_F) = 2.89 states/eV per cell; ΔE to the lowest computed polymorph = 19.2 kJ per mole of atoms; total magnetic moment = 0.000 μB per cell
1.0
4.748 0.228 0.756
-1.955 4.333 0.756
-1.955 -3.193 3.025
Al Se
1 3
Cartesian
0.000 0.000 0.000
-1.955 0.570 1.890
1.396 -1.483 1.890
1.396 2.280 0.756



Ru2Se | Alexandria via LeMat-Bulk | PBE | relaxed; ΔE_f (raw) = 0.21 eV/atom; V = 90 Å³ per cell; N(E_F) = 5.79 states/eV per cell; ΔE to the lowest computed polymorph = 14.5 kJ per mole of atoms; total magnetic moment = 0.000 μB per cell
1.0
5.053 -0.501 -1.979
5.126 1.843 -0.178
3.447 -3.182 4.001
Ru Se
4 2
Cartesian
7.318 -2.054 2.378
3.020 -1.411 1.715
10.607 -0.428 0.130
6.309 0.215 -0.534
8.772 0.551 -1.070
4.854 -2.390 2.914



UPaH | Alexandria via LeMat-Bulk | PBE | relaxed; V = 100 Å³ per cell; N(E_F) = 12.11 states/eV per cell; ΔE to the lowest computed polymorph = 0.0 kJ per mole of atoms; total magnetic moment = 2.709 μB per cell
1.0
6.273 0.000 0.000
0.000 5.239 -1.499
0.000 -3.605 4.087
H Pa U
2 2 2
Cartesian
1.568 1.236 1.030
4.705 0.399 1.558
1.568 3.121 -0.161
4.705 -1.487 2.749
3.136 0.000 0.000
0.000 0.000 0.000